<i>
# Rb2Ag2Sn PBE relaxed
data_Rb2Ag2Sn
_chemical_formula_sum 'Rb6 Ag6 Sn3'
_cell_length_a 4.8987
_cell_length_b 4.8987
_cell_length_c 32.4238
_cell_angle_alpha 90.00
_cell_angle_beta 90.00
_cell_angle_gamma 120.00
_space_group_name_H-M_alt 'R -3 m'
_space_group_IT_number 166
_space_group_name_Hall '-R 3 2"'
loop_
_atom_site_label
_atom_site_fract_x
_atom_site_fract_y
_atom_site_fract_z
_atom_site_occupancy
Rb1 0.0000 0.0000 0.0743 1
Ag1 0.0000 0.0000 0.1799 1
Sn1 0.0000 0.0000 0.5000 1
# - Crystal system: trigonal
# - N(E_F): 2.9 states/eV/f.u.
# - Total moment: 0.00 μB/f.u.
# - V: 673.84 Å³/cell



<ii>
# Rb2Ag2Sn PBE relaxed
data_Rb2Ag2Sn
_chemical_formula_sum 'Rb4 Ag4 Sn2'
_cell_length_a 7.5043
_cell_length_b 7.5043
_cell_length_c 5.8923
_cell_angle_alpha 90.00
_cell_angle_beta 90.00
_cell_angle_gamma 90.00
_space_group_name_H-M_alt 'P 4/m b m'
_space_group_IT_number 127
_space_group_name_Hall '-P 4 2ab'
loop_
_atom_site_label
_atom_site_fract_x
_atom_site_fract_y
_atom_site_fract_z
_atom_site_occupancy
Rb1 0.1788 0.3212 0.0000 1
Ag1 0.1381 0.6381 0.5000 1
Sn1 0.0000 0.0000 0.5000 1
# - Crystal system: tetragonal
# - N(E_F): 2.8 states/eV/f.u.
# - Total moment: 0.00 μB/f.u.
# - V: 331.82 Å³/cell



Least stable structure: <ii>